(1)
DFT (GGA-PBEsol) results for a relaxed structure of LiRe2Au.

Cell and atoms, written as POSCAR:
```
LiRe2Au
1.0
-1.818 1.818 4.334
1.818 -1.818 4.334
1.818 1.818 -4.334
Li Re Au
1 2 1
Direct
0.000 0.000 0.000
0.250 0.750 0.500
0.750 0.250 0.500
0.500 0.500 0.000
```

Calculated values
As for the space-group type: I4/mmm. As for the energy of formation from the pure elements: 30.7 kJ per mole of atoms. The calculation puts the electronic total energy at -7.8205 eV per atom.

(2)
DFT (GGA-PBEsol) results for a relaxed structure of LiReAu3.

Cell and atoms, written as POSCAR:
```
LiReAu3
1.0
4.982 0.000 0.000
0.000 4.982 0.000
0.000 0.000 4.982
Li Re Au
1 1 3
Direct
0.000 0.000 0.000
0.500 0.500 0.500
0.000 0.500 0.500
0.500 0.000 0.500
0.500 0.500 0.000
```

Calculated values
As for the space-group type: Pm-3m. As for the energy of formation from the pure elements: 93.4 kJ per mole of atoms. The calculation puts the electronic total energy at -4.4458 eV per atom.

(3)
DFT (GGA-PBEsol) results for a relaxed structure of LiRe2Au.

Cell and atoms, written as POSCAR:
```
LiRe2Au
1.0
0.000 3.066 3.066
3.066 0.000 3.066
3.066 3.066 0.000
Li Re Au
1 2 1
Direct
0.000 0.000 0.000
0.250 0.250 0.250
0.500 0.500 0.500
0.750 0.750 0.750
```

Calculated values
As for the space-group type: F-43m. As for the energy of formation from the pure elements: 33.4 kJ per mole of atoms. The calculation puts the electronic total energy at -7.7929 eV per atom.

(4)
DFT (GGA-PBEsol) results for a relaxed structure of LiTaRh2Au.

Cell and atoms, written as POSCAR:
```
LiTaRh2Au
1.0
4.095 0.000 0.000
0.000 4.095 0.000
0.000 0.000 4.251
Li Ta Rh Au
1 1 2 1
Direct
0.000 0.000 0.000
0.000 0.000 0.500
0.000 0.500 0.000
0.500 0.000 0.000
0.500 0.500 0.500
```

Calculated values
As for the space-group type: P4/mmm. As for the energy of formation from the pure elements: 63.0 kJ per mole of atoms. The calculation puts the electronic total energy at -6.2905 eV per atom.

(5)
DFT (GGA-PBEsol) results for a relaxed structure of Li2TcRhAu.

Cell and atoms, written as POSCAR:
```
Li2TcRhAu
1.0
4.236 0.000 0.000
0.000 4.236 0.000
0.000 0.000 5.057
Li Tc Rh Au
2 1 1 1
Direct
0.000 0.500 0.000
0.500 0.000 0.000
0.000 0.000 0.500
0.500 0.500 0.500
0.500 0.500 0.000
```

Calculated values
As for the space-group type: P4/mmm. As for the energy of formation from the pure elements: 102.1 kJ per mole of atoms. The calculation puts the electronic total energy at -4.3939 eV per atom.

(6)
DFT (GGA-PBEsol) results for a relaxed structure of LiZn2RhAu.

Cell and atoms, written as POSCAR:
```
LiZn2RhAu
1.0
4.178 0.000 0.000
0.000 4.178 0.000
0.000 0.000 4.062
Li Zn Rh Au
1 2 1 1
Direct
0.000 0.000 0.000
0.000 0.500 0.000
0.500 0.000 0.000
0.000 0.000 0.500
0.500 0.500 0.500
```

Calculated values
As for the space-group type: P4/mmm. As for the energy of formation from the pure elements: 39.1 kJ per mole of atoms. The calculation puts the electronic total energy at -3.0335 eV per atom.

(7)
DFT (GGA-PBEsol) results for a relaxed structure of Li2RuAu.

Cell and atoms, written as POSCAR:
```
Li2RuAu
1.0
-1.878 1.878 3.882
1.878 -1.878 3.882
1.878 1.878 -3.882
Li Ru Au
2 1 1
Direct
0.000 0.000 0.000
0.750 0.250 0.500
0.250 0.750 0.500
0.500 0.500 0.000
```

Calculated values
As for the space-group type: I-4m2. As for the energy of formation from the pure elements: 17.2 kJ per mole of atoms. The calculation puts the electronic total energy at -4.3290 eV per atom.

(8)
DFT (GGA-PBEsol) results for a relaxed structure of LiRu2Au.

Cell and atoms, written as POSCAR:
```
LiRu2Au
1.0
1.383 -2.289 0.000
1.383 2.289 0.000
0.000 0.000 9.164
Li Ru Au
1 2 1
Direct
0.000 0.000 0.000
0.000 0.000 0.478
0.500 0.500 0.247
0.500 0.500 0.754
```

Calculated values
As for the space-group type: Cmm2. As for the energy of formation from the pure elements: 26.1 kJ per mole of atoms. The calculation puts the electronic total energy at -6.2880 eV per atom.

(9)
DFT (GGA-PBEsol) results for a relaxed structure of LiRuAu2.

Cell and atoms, written as POSCAR:
```
LiRuAu2
1.0
4.513 -1.326 0.000
4.513 1.326 0.000
-0.628 0.000 5.089
Li Ru Au
1 1 2
Direct
0.000 0.000 0.000
0.500 0.500 0.500
0.245 0.245 0.752
0.755 0.755 0.248
```

Calculated values
As for the space-group type: C2/m. As for the energy of formation from the pure elements: 16.1 kJ per mole of atoms. The calculation puts the electronic total energy at -4.8299 eV per atom.

(10)
DFT (GGA-PBEsol) results for a relaxed structure of LiRu2Au.

Cell and atoms, written as POSCAR:
```
LiRu2Au
1.0
-1.356 2.076 5.288
1.356 -2.076 5.288
1.356 2.076 -5.288
Li Ru Au
1 2 1
Direct
0.000 0.000 0.000
0.283 0.783 0.500
0.717 0.217 0.500
0.500 0.500 0.000
```

Calculated values
As for the space-group type: Immm. As for the energy of formation from the pure elements: 23.7 kJ per mole of atoms. The calculation puts the electronic total energy at -6.3129 eV per atom.

(11)
DFT (GGA-PBEsol) results for a relaxed structure of LiRu2Au.

Cell and atoms, written as POSCAR:
```
LiRu2Au
1.0
-1.950 1.950 3.597
1.950 -1.950 3.597
1.950 1.950 -3.597
Li Ru Au
1 2 1
Direct
0.000 0.000 0.000
0.250 0.750 0.500
0.500 0.500 0.000
0.750 0.250 0.500
```

Calculated values
As for the space-group type: I-4m2. As for the energy of formation from the pure elements: 22.2 kJ per mole of atoms. The calculation puts the electronic total energy at -6.3288 eV per atom.

(12)
DFT (GGA-PBEsol) results for a relaxed structure of Li2RuAu.

Cell and atoms, written as POSCAR:
```
Li2RuAu
1.0
2.580 0.000 0.000
0.000 4.278 0.000
0.000 0.000 5.204
Li Ru Au
2 1 1
Direct
0.000 0.000 0.000
0.500 0.500 0.246
0.000 0.000 0.507
0.500 0.500 0.736
```

Calculated values
As for the space-group type: Pmm2. As for the energy of formation from the pure elements: 6.9 kJ per mole of atoms. The calculation puts the electronic total energy at -4.4359 eV per atom.